Entry 1:
Cd3Fe: relaxed, PBE.

Output
energy of formation from the pure elements	30.7	kJ/mol of atoms
calculated volume	75.2	Å³/f.u.
total magnetic moment	2.35	Bohr magnetons per cell

Lattice parameters (Å, degrees): 5.211 5.211 5.211 132.62 132.62 69.25
Atoms (fractional coordinates):
Cd1 0.000 0.000 0.000
Cd2 0.250 0.750 0.500
Cd3 0.750 0.250 0.500
Fe1 0.500 0.500 0.000


Entry 2:
CdFe2: relaxed, PBE.

Output
energy of formation from the pure elements	23.7	kJ/mol of atoms
calculated volume	44.0	Å³/f.u.
total magnetic moment	9.85	Bohr magnetons per cell

Lattice parameters (Å, degrees): 4.992 4.992 4.992 60.00 60.00 60.00
Atoms (fractional coordinates):
Cd1 0.125 0.125 0.125
Cd2 0.875 0.875 0.875
Fe1 0.000 0.500 0.500
Fe2 0.500 0.000 0.500
Fe3 0.500 0.500 0.000
Fe4 0.500 0.500 0.500


Entry 3:
Cd3Fe: relaxed, PBE.

Output
energy of formation from the pure elements	39.3	kJ/mol of atoms
calculated volume	79.0	Å³/f.u.
total magnetic moment	5.49	Bohr magnetons per cell

Lattice parameters (Å, degrees): 5.405 5.405 5.405 90.00 90.00 90.00
Atoms (fractional coordinates):
Cd1 0.000 0.250 0.500
Cd2 0.000 0.750 0.500
Cd3 0.250 0.500 0.000
Cd4 0.500 0.000 0.250
Cd5 0.500 0.000 0.750
Cd6 0.750 0.500 0.000
Fe1 0.000 0.000 0.000
Fe2 0.500 0.500 0.500


Entry 4:
Cd4Fe5: relaxed, PBE.

Output
energy of formation from the pure elements	28.7	kJ/mol of atoms
energy relative to the lowest polymorph listed for this composition	0.000	eV per formula unit
calculated volume	142.0	Å³/f.u.
total magnetic moment	12.17	Bohr magnetons per cell

Lattice parameters (Å, degrees): 6.247 6.247 6.247 96.10 96.10 141.97
Atoms (fractional coordinates):
Cd1 0.000 0.319 0.319
Cd2 0.000 0.681 0.681
Cd3 0.319 0.000 0.319
Cd4 0.681 0.000 0.681
Fe1 0.000 0.000 0.000
Fe2 0.354 0.354 0.708
Fe3 0.354 0.646 0.000
Fe4 0.646 0.354 0.000
Fe5 0.646 0.646 0.292


Entry 5:
CdFe2: relaxed, PBE.

Output
energy of formation from the pure elements	24.1	kJ/mol of atoms
calculated volume	44.4	Å³/f.u.
total magnetic moment	10.02	Bohr magnetons per cell

Lattice parameters (Å, degrees): 6.911 6.911 4.401 90.00 90.00 155.03
Atoms (fractional coordinates):
Cd1 0.068 0.932 0.750
Cd2 0.932 0.068 0.250
Fe1 0.259 0.741 0.250
Fe2 0.375 0.625 0.750
Fe3 0.625 0.375 0.250
Fe4 0.741 0.259 0.750


Entry 6:
CdFe4: relaxed, PBE.

Output
energy of formation from the pure elements	185.9	kJ/mol of atoms
energy relative to the lowest polymorph listed for this composition	8.574	eV per formula unit
calculated volume	103.2	Å³/f.u.
total magnetic moment	11.66	Bohr magnetons per cell

Lattice parameters (Å, degrees): 4.691 4.691 4.691 90.00 90.00 90.00
Atoms (fractional coordinates):
Cd1 0.000 0.000 0.000
Fe1 0.000 0.000 0.500
Fe2 0.000 0.500 0.000
Fe3 0.500 0.000 0.000
Fe4 0.500 0.500 0.500


Entry 7:
Cd3Fe: relaxed, PBE.

Output
energy of formation from the pure elements	27.9	kJ/mol of atoms
calculated volume	75.3	Å³/f.u.
total magnetic moment	2.51	Bohr magnetons per cell

Lattice parameters (Å, degrees): 5.564 5.564 5.564 117.05 117.05 117.05
Atoms (fractional coordinates):
Cd1 0.000 0.500 0.500
Cd2 0.500 0.000 0.500
Cd3 0.500 0.500 0.000
Fe1 0.000 0.000 0.000


Entry 8:
CdFe2: relaxed, PBE.

Output
energy of formation from the pure elements	34.4	kJ/mol of atoms
calculated volume	45.5	Å³/f.u.
total magnetic moment	10.15	Bohr magnetons per cell

Lattice parameters (Å, degrees): 5.314 5.314 6.478 100.95 100.95 30.51
Atoms (fractional coordinates):
Cd1 0.000 0.000 0.000
Cd2 0.699 0.699 0.327
Fe1 0.065 0.065 0.604
Fe2 0.354 0.354 0.665
Fe3 0.428 0.428 0.333
Fe4 0.721 0.721 0.864